Record 1
This record from the Alexandria database describes a geometry-optimized EuLuAgIr structure. The functional is PBE.

Unit cell a=4.9847 b=4.9847 c=4.9847 alpha=60.00 beta=60.00 gamma=60.00
With the nearest neighbours (Å) after each atom.
Fractional positions:
Lu 0.7500 0.7500 0.7500  4 Ag 3.05, 4 Ir 3.05
Eu 0.2500 0.2500 0.2500  4 Ag 3.05, 4 Ir 3.05
Ir 0.5000 0.5000 0.5000  4 Eu 3.05, 4 Lu 3.05
Ag 0.0000 0.0000 0.0000  4 Lu 3.05, 4 Eu 3.05

Results
Electronic total energy in eV per atom: -7.066
ΔE_f in meV per atom: -439



Record 2
This record from the Alexandria database describes a geometry-optimized CeDy3Fe8 structure. The functional is PBE.

Unit cell a=5.1394 b=5.1394 c=8.8823 alpha=73.18 beta=73.18 gamma=60.00
With the nearest neighbours (Å) after each atom.
Fractional positions:
Dy 0.9998 0.9998 0.0007  12 Fe 3.00-3.02, 1 Ce 3.15, 3 Dy 3.15
Dy 0.3752 0.3752 0.8743  12 Fe 3.00-3.01, 4 Dy 3.14-3.15
Dy 0.5003 0.5003 0.4990  12 Fe 3.01-3.02, 3 Ce 3.14, 1 Dy 3.14
Fe 0.4365 0.9375 0.6884  6 Fe 2.55-2.58
Fe 0.4374 0.9387 0.1866  6 Fe 2.56-2.58
Fe 0.9375 0.9375 0.6884  6 Fe 2.55-2.58
Fe 0.9387 0.4374 0.1866  6 Fe 2.56-2.58
Fe 0.4374 0.4374 0.1866  6 Fe 2.56-2.58
Fe 0.1875 0.1875 0.4376  6 Fe 2.57
Fe 0.9375 0.4365 0.6884  6 Fe 2.55-2.58
Fe 0.6878 0.6878 0.9366  6 Fe 2.55-2.57
Ce 0.8744 0.8744 0.3767  12 Fe 3.00-3.02, 4 Dy 3.14-3.15

Results
Electronic total energy in eV per atom: -7.366
ΔE_f in meV per atom: -79